Record 1
Material: Rb2LiMg3Tl12
Method: DFT, PBE
State: optimized geometry

abc: 12.006 12.006 12.006
angles: 38.64 38.64 38.64
Fractional coordinates of all 18 atoms:
Tl  0.413  0.820  0.413
Tl  0.653  0.072  0.072
Tl  0.072  0.653  0.072
Tl  0.347  0.928  0.928
Tl  0.072  0.072  0.653
Tl  0.820  0.413  0.413
Tl  0.587  0.180  0.587
Tl  0.928  0.928  0.347
Tl  0.928  0.347  0.928
Tl  0.587  0.587  0.180
Tl  0.180  0.587  0.587
Tl  0.413  0.413  0.820
Rb  0.650  0.650  0.650
Rb  0.350  0.350  0.350
Mg  0.500  0.000  0.000
Mg  0.000  0.000  0.500
Mg  0.000  0.500  0.000
Li  0.000  0.000  0.000

Output
energy relative to the elements	0.047	eV/atom
energy	-36.17	eV for the cell shown
calculated density	7.4	g/cm3


Record 2
Material: RbLiY2Mg
Method: DFT, PBE
State: optimized geometry

abc: 5.930 5.654 5.930
angles: 90.00 90.00 90.00
Fractional coordinates of all 5 atoms:
Rb  0.500  0.500  0.500
Y  0.500  0.000  0.000
Y  0.000  0.000  0.500
Mg  0.000  0.000  0.000
Li  0.000  0.500  0.000

Output
energy relative to the elements	0.619	eV/atom
energy	-14.31	eV for the cell shown
calculated density	2.5	g/cm3


Record 3
Material: RbLiMgZn2
Method: DFT, PBE
State: optimized geometry

abc: 5.156 5.301 5.156
angles: 90.00 90.00 90.00
Fractional coordinates of all 5 atoms:
Li  0.000  0.000  0.000
Mg  0.000  0.500  0.000
Zn  0.500  0.000  0.000
Zn  0.000  0.000  0.500
Rb  0.500  0.500  0.500

Output
energy relative to the elements	0.256	eV/atom
energy	-5.74	eV for the cell shown
calculated density	2.9	g/cm3


Record 4
Material: LiMg4Re
Method: DFT, PBE
State: optimized geometry

abc: 5.510 5.510 5.510
angles: 60.00 60.00 60.00
Site moments in Bohr magnetons follow the coordinates.
Fractional coordinates of all 6 atoms:
Re  0.250  0.250  0.250  1.63
Mg  0.129  0.624  0.624  0.00
Mg  0.624  0.129  0.624  0.00
Mg  0.624  0.624  0.129  0.00
Mg  0.624  0.624  0.624  0.00
Li  0.000  0.000  0.000  0.01

Output
energy relative to the elements	0.624	eV/atom
energy	-17.00	eV for the cell shown
calculated density	4.1	g/cm3


Record 5
Material: LiMgRe2
Method: DFT, PBE
State: optimized geometry

abc: 4.607 2.627 5.151
angles: 76.51 90.00 90.00
Fractional coordinates of all 4 atoms:
Mg  0.500  0.750  0.750
Li  0.500  0.250  0.250
Re  0.000  0.018  0.004
Re  0.000  0.482  0.496

Output
energy relative to the elements	0.293	eV/atom
energy	-27.23	eV for the cell shown
calculated density	11.1	g/cm3
distance to the lowest polymorph of the same formula	146	meV per atom


Record 6
Material: LiMgRe2
Method: DFT, PBE
State: optimized geometry

abc: 4.345 4.345 4.345
angles: 60.00 60.00 60.00
Site moments in Bohr magnetons follow the coordinates.
Fractional coordinates of all 4 atoms:
Re  0.250  0.250  0.250  0.55
Re  0.750  0.750  0.750  0.55
Li  0.000  0.000  0.000  0.00
Mg  0.500  0.500  0.500  0.00

Output
energy relative to the elements	1.018	eV/atom
energy	-24.33	eV for the cell shown
calculated density	11.6	g/cm3
distance to the lowest polymorph of the same formula	871	meV per atom


Question: Which of these has the highest calculated density?
Answer: number 6


What did the first record say?
Material: Rb2LiMg3Tl12
Method: DFT, PBE
State: optimized geometry

abc: 12.006 12.006 12.006
angles: 38.64 38.64 38.64
Fractional coordinates of all 18 atoms:
Tl  0.413  0.820  0.413
Tl  0.653  0.072  0.072
Tl  0.072  0.653  0.072
Tl  0.347  0.928  0.928
Tl  0.072  0.072  0.653
Tl  0.820  0.413  0.413
Tl  0.587  0.180  0.587
Tl  0.928  0.928  0.347
Tl  0.928  0.347  0.928
Tl  0.587  0.587  0.180
Tl  0.180  0.587  0.587
Tl  0.413  0.413  0.820
Rb  0.650  0.650  0.650
Rb  0.350  0.350  0.350
Mg  0.500  0.000  0.000
Mg  0.000  0.000  0.500
Mg  0.000  0.500  0.000
Li  0.000  0.000  0.000

Output
energy relative to the elements	0.047	eV/atom
energy	-36.17	eV for the cell shown
calculated density	7.4	g/cm3